Entry 1:
A plane-wave DFT calculation with GGA-PBE was carried out for a relaxed CaHg2Te crystal.

Symmetry ... R-3m, No. 166
Raw formation energy ... -467 meV per atom
Crystal system ... trigonal
Density of states at the Fermi level ... 0.146 states/eV per atom

Cell lengths 6.606, 6.606, 6.606 Å; angles 42.66, 42.66, 42.66 degrees
Fractional coordinates of all 4 atoms:
1 Ca 0.750 0.750 0.750
2 Te 0.250 0.250 0.250
3 Hg 0.003 0.003 0.003
4 Hg 0.497 0.497 0.497

---

Entry 2:
A plane-wave DFT calculation with GGA-PBE was carried out for a relaxed Sr2MoAu crystal.

Symmetry ... R3m, No. 160
Formation enthalpy at 0 K ... 260 meV per atom
Crystal system ... trigonal
Density of states at the Fermi level ... 0.686 states/eV per atom

Cell lengths 8.325, 8.325, 8.325 Å; angles 31.85, 31.85, 31.85 degrees
Each line ends with the local moment (μB).
Fractional coordinates of all 4 atoms:
1 Au 0.458 0.458 0.458  0.09
2 Mo 0.792 0.792 0.792  1.62
3 Sr 0.037 0.037 0.037  0.03
4 Sr 0.213 0.213 0.213  0.03

---

Entry 3:
A plane-wave DFT calculation with GGA-PBE was carried out for a relaxed SrNi2Cl2 crystal.

Symmetry ... P4/mbm, No. 127
Raw formation energy ... -459 meV per atom
Crystal system ... tetragonal
Density of states at the Fermi level ... 0.721 states/eV per atom

Cell lengths 7.590, 7.590, 4.182 Å; angles 90.00, 90.00, 90.00 degrees
Each line ends with the local moment (μB).
Fractional coordinates of all 10 atoms:
1 Sr 0.000 0.000 0.000  0.01
2 Sr 0.500 0.500 0.000  0.01
3 Cl 0.161 0.661 0.000  0.00
4 Cl 0.661 0.839 0.000  0.00
5 Cl 0.839 0.339 0.000  0.00
6 Cl 0.339 0.161 0.000  0.00
7 Ni 0.118 0.618 0.500  -0.10
8 Ni 0.618 0.882 0.500  -0.10
9 Ni 0.882 0.382 0.500  -0.10
10 Ni 0.382 0.118 0.500  -0.10

---

Entry 4:
A plane-wave DFT calculation with GGA-PBE was carried out for a relaxed MgTa2Pd9 crystal.

Symmetry ... P4/mmm, No. 123
Formation enthalpy at 0 K ... -518 meV per atom
Crystal system ... tetragonal
Density of states at the Fermi level ... 0.240 states/eV per atom

Cell lengths 3.962, 3.962, 11.925 Å; angles 90.00, 90.00, 90.00 degrees
Fractional coordinates of all 12 atoms:
1 Mg 0.000 0.000 0.000
2 Ta 0.000 0.000 0.326
3 Ta 0.000 0.000 0.674
4 Pd 0.500 0.500 0.000
5 Pd 0.500 0.500 0.338
6 Pd 0.500 0.500 0.662
7 Pd 0.500 0.000 0.173
8 Pd 0.500 0.000 0.500
9 Pd 0.500 0.000 0.827
10 Pd 0.000 0.500 0.173
11 Pd 0.000 0.500 0.500
12 Pd 0.000 0.500 0.827

---

Entry 5:
A plane-wave DFT calculation with GGA-PBE was carried out for a relaxed YV2Si2 crystal.

Symmetry ... P4/mbm, No. 127
Raw formation energy ... -325 meV per atom
Crystal system ... tetragonal
Density of states at the Fermi level ... 0.662 states/eV per atom

Cell lengths 7.039, 7.039, 3.240 Å; angles 90.00, 90.00, 90.00 degrees
Fractional coordinates of all 10 atoms:
1 Y 0.000 0.000 0.000
2 Y 0.500 0.500 0.000
3 Si 0.378 0.878 0.000
4 Si 0.878 0.622 0.000
5 Si 0.622 0.122 0.000
6 Si 0.122 0.378 0.000
7 V 0.164 0.664 0.500
8 V 0.664 0.836 0.500
9 V 0.836 0.336 0.500
10 V 0.336 0.164 0.500

---

Entry 6:
A plane-wave DFT calculation with GGA-PBE was carried out for a relaxed Sm2FeMoN5 crystal.

Symmetry ... Cmc2_1, No. 36
Raw formation energy ... -726 meV per atom
Crystal system ... orthorhombic
Density of states at the Fermi level ... 0.350 states/eV per atom

Cell lengths 3.214, 7.205, 9.976 Å; angles 90.00, 90.00, 102.89 degrees
Each line ends with the local moment (μB).
Fractional coordinates of all 18 atoms:
1 Sm 0.876 0.751 0.817  0.01
2 Sm 0.118 0.237 0.697  0.00
3 Sm 0.124 0.249 0.317  0.01
4 Sm 0.882 0.763 0.197  0.00
5 Fe 0.552 0.104 0.950  0.30
6 Fe 0.448 0.896 0.450  0.30
7 Mo 0.792 0.584 0.521  0.07
8 Mo 0.208 0.416 0.021  0.07
9 N 0.337 0.675 0.005  0.00
10 N 0.677 0.355 0.878  0.00
11 N 0.503 0.005 0.781  0.03
12 N 0.303 0.607 0.658  0.01
13 N 0.973 0.946 0.516  0.00
14 N 0.663 0.325 0.505  0.00
15 N 0.323 0.645 0.378  0.00
16 N 0.497 0.995 0.281  0.03
17 N 0.697 0.393 0.158  0.01
18 N 0.027 0.054 0.016  0.00

---

Entry 7:
A plane-wave DFT calculation with GGA-PBE was carried out for a relaxed YHgI2N crystal.

Symmetry ... P4/mmm, No. 123
Raw formation energy ... 527 meV per atom
Crystal system ... tetragonal
Density of states at the Fermi level ... 0.551 states/eV per atom

Cell lengths 6.294, 6.294, 3.944 Å; angles 90.00, 90.00, 90.00 degrees
Each line ends with the local moment (μB).
Fractional coordinates of all 5 atoms:
1 I 0.000 0.500 0.000  0.02
2 I 0.500 0.000 0.000  0.02
3 Y 0.500 0.500 0.500  -0.04
4 Hg 0.000 0.000 0.000  0.08
5 N 0.000 0.000 0.500  0.64

---

Entry 8:
A plane-wave DFT calculation with GGA-PBE was carried out for a relaxed CaOsCl3 crystal.

Symmetry ... Pm-3m, No. 221
Raw formation energy ... -52 meV per atom
Crystal system ... cubic
Density of states at the Fermi level ... 2.642 states/eV per atom

Cell lengths 5.332, 5.332, 5.332 Å; angles 90.00, 90.00, 90.00 degrees
Each line ends with the local moment (μB).
Fractional coordinates of all 5 atoms:
1 Ca 0.000 0.000 0.000  0.00
2 Os 0.500 0.500 0.500  3.84
3 Cl 0.000 0.500 0.000  0.11
4 Cl 0.000 0.000 0.500  0.08
5 Cl 0.500 0.000 0.000  0.06

---

Q: The highest density of states at the Fermi level belongs to which entry?
A: CaOsCl3

---

Please write out number 2 again, unchanged.
A plane-wave DFT calculation with GGA-PBE was carried out for a relaxed Sr2MoAu crystal.

Symmetry ... R3m, No. 160
Formation enthalpy at 0 K ... 260 meV per atom
Crystal system ... trigonal
Density of states at the Fermi level ... 0.686 states/eV per atom

Cell lengths 8.325, 8.325, 8.325 Å; angles 31.85, 31.85, 31.85 degrees
Each line ends with the local moment (μB).
Fractional coordinates of all 4 atoms:
1 Au 0.458 0.458 0.458  0.09
2 Mo 0.792 0.792 0.792  1.62
3 Sr 0.037 0.037 0.037  0.03
4 Sr 0.213 0.213 0.213  0.03

---

Q: The highest density of states at the Fermi level belongs to which entry?
A: CaOsCl3

---

Q: Look up the density of states at the Fermi level of the third one.
A: 0.721 states/eV per atom